No. 1
DFT (PBE) results for a relaxed BaAc4Cd5 crystal.

The density of states at the Fermi level is 1.08 states/eV per atom. For the spin magnetization, the calculation gives 0.000 μB/atom. The final energy comes out at -0.0954 hartree per atom. As for the formation energy: -302 meV per atom.

It has space group P4/mmm (No. 123), with a = 4.1037 Å, b = 4.1037 Å, c = 20.6323 Å, α = 90.00°, β = 90.00° and γ = 90.00°. The inequivalent atoms are Ba at (0.0000, 0.0000, 0.0000), Ac at (0.0000, 0.0000, 0.2058), Ac at (0.0000, 0.0000, 0.4017), Cd at (0.5000, 0.5000, 0.1107), Cd at (0.5000, 0.5000, 0.3037) and Cd at (0.5000, 0.5000, 0.5000).


No. 2
DFT (PBE) results for a relaxed Pb2Au crystal.

The density of states at the Fermi level is 0.27 states/eV per atom. For the spin magnetization, the calculation gives 0.000 μB/atom. The final energy comes out at -0.1338 hartree per atom. As for the formation energy: -76 meV per atom.

It has space group Pnma (No. 62), with a = 7.5842 Å, b = 4.6438 Å, c = 9.2041 Å, α = 90.00°, β = 90.00° and γ = 90.00°. The inequivalent atoms are Pb at (0.0220, 0.2500, 0.1652), Pb at (0.1430, 0.2500, 0.5740) and Au at (0.2432, 0.2500, 0.8862).


No. 3
DFT (PBE) results for a relaxed KBe2Pd crystal.

The density of states at the Fermi level is 0.48 states/eV per atom. The excess energy over the best structure of this formula in the dataset is 50.38 kJ/mol of atoms. For the spin magnetization, the calculation gives 0.000 μB/atom. The final energy comes out at -0.0964 hartree per atom. As for the formation energy: 811 meV per atom.

It has space group Fm-3m (No. 225), with a = 6.4375 Å, b = 6.4375 Å, c = 6.4375 Å, α = 90.00°, β = 90.00° and γ = 90.00°. The inequivalent atoms are K at (0.0000, 0.0000, 0.0000), Be at (0.2500, 0.2500, 0.2500) and Pd at (0.0000, 0.0000, 0.5000).


No. 4
DFT (PBE) results for a relaxed Mg8CoSn2 crystal.

The density of states at the Fermi level is 0.32 states/eV per atom. For the spin magnetization, the calculation gives 0.000 μB/atom. The final energy comes out at -0.0952 hartree per atom. As for the formation energy: -57 meV per atom.

It has space group C2/m (No. 12), with a = 15.8890 Å, b = 4.8176 Å, c = 6.7727 Å, α = 90.00°, β = 114.42° and γ = 90.00°. The inequivalent atoms are Mg at (0.0077, 0.0000, 0.2872), Mg at (0.1155, 0.5000, 0.8923), Mg at (0.1371, 0.5000, 0.3968), Mg at (0.1814, 0.0000, 0.7101), Co at (0.0000, 0.5000, 0.5000) and Sn at (0.1813, 0.0000, 0.1799).


No. 5
DFT (PBE) results for a relaxed AcPmCo2 crystal.

The density of states at the Fermi level is 1.25 states/eV per atom. The excess energy over the best structure of this formula in the dataset is 0.00 kJ/mol of atoms. For the spin magnetization, the calculation gives 0.241 μB/atom. The final energy comes out at -0.2130 hartree per atom. As for the formation energy: -28 meV per atom.

It has space group Amm2 (No. 38), with a = 4.0204 Å, b = 4.1060 Å, c = 11.7912 Å, α = 90.00°, β = 90.00° and γ = 90.00°. The inequivalent atoms are Ac at (0.0000, 0.0000, 0.0000), Pm at (0.5000, 0.0000, 0.2742), Co at (0.0000, 0.0000, 0.6963) and Co at (0.5000, 0.0000, 0.6042).


No. 6
DFT (PBE) results for a relaxed GeSeS4 crystal.

For the spin magnetization, the calculation gives 0.000 μB/atom. The final energy comes out at -0.1479 hartree per atom. As for the energy relative to the elements, uncorrected: 0.08 eV per atom.

It has space group P1 (No. 1), with a = 5.8158 Å, b = 6.1254 Å, c = 6.2906 Å, α = 78.21°, β = 62.83° and γ = 66.48°. The inequivalent atoms are Ge at (0.0000, 0.0000, 0.0000), Se at (0.3386, 0.5414, 0.3729), S at (0.0811, 0.9446, 0.3687), S at (0.1285, 0.5794, 0.9450), S at (0.4892, 0.5039, 0.9766) and S at (0.6842, 0.0038, 0.4126).


No. 7
DFT (PBE) results for a relaxed BeTcSe crystal.

The density of states at the Fermi level is 0.93 states/eV per atom. The excess energy over the best structure of this formula in the dataset is 46.59 kJ/mol of atoms. For the spin magnetization, the calculation gives 0.070 μB/atom. The final energy comes out at -0.1961 hartree per atom. As for the energy relative to the elements, uncorrected: 0.52 eV per atom.

It has space group Fmm2 (No. 42), with a = 3.1336 Å, b = 4.7413 Å, c = 11.6600 Å, α = 90.00°, β = 90.00° and γ = 90.00°. The inequivalent atoms are Be at (0.0000, 0.0000, 0.0000), Tc at (0.0000, 0.0000, 0.6468) and Se at (0.0000, 0.0000, 0.3279).


No. 8
DFT (PBE) results for a relaxed MnNiSN2 crystal.

The density of states at the Fermi level is 0.71 states/eV per atom. The excess energy over the best structure of this formula in the dataset is 0.00 kJ/mol of atoms. For the spin magnetization, the calculation gives 0.182 μB/atom. The final energy comes out at -0.2383 hartree per atom. As for the energy relative to the elements, uncorrected: 0.66 eV per atom.

It has space group P4/mmm (No. 123), with a = 3.5004 Å, b = 3.5004 Å, c = 5.0697 Å, α = 90.00°, β = 90.00° and γ = 90.00°. The inequivalent atoms are Mn at (0.0000, 0.0000, 0.0000), Ni at (0.5000, 0.5000, 0.5000), S at (0.0000, 0.0000, 0.5000) and N at (0.0000, 0.5000, 0.0000).


No. 9
DFT (PBE) results for a relaxed NaTiHg2 crystal.

The density of states at the Fermi level is 0.77 states/eV per atom. For the spin magnetization, the calculation gives 0.201 μB/atom. The final energy comes out at -0.0909 hartree per atom. As for the formation energy: -19 meV per atom.

It has space group P4/mmm (No. 123), with a = 3.1644 Å, b = 3.1644 Å, c = 8.5400 Å, α = 90.00°, β = 90.00° and γ = 90.00°. The inequivalent atoms are Na at (0.0000, 0.0000, 0.0000), Ti at (0.0000, 0.0000, 0.5000) and Hg at (0.5000, 0.5000, 0.2755).


No. 10
DFT (PBE) results for a relaxed SrYCd2 crystal.

The density of states at the Fermi level is 1.19 states/eV per atom. For the spin magnetization, the calculation gives 0.000 μB/atom. The final energy comes out at -0.0948 hartree per atom. As for the formation energy: -87 meV per atom.

It has space group I-4m2 (No. 119), with a = 4.7464 Å, b = 4.7464 Å, c = 10.4553 Å, α = 90.00°, β = 90.00° and γ = 90.00°. The inequivalent atoms are Sr at (0.0000, 0.0000, 0.0000), Y at (0.0000, 0.5000, 0.7500), Cd at (0.0000, 0.0000, 0.5000) and Cd at (0.0000, 0.5000, 0.2500).


No. 11
DFT (PBE) results for a relaxed Tl2HgAsPb crystal.

The density of states at the Fermi level is 0.41 states/eV per atom. For the spin magnetization, the calculation gives 0.000 μB/atom. The final energy comes out at -0.0955 hartree per atom. As for the formation energy: 79 meV per atom.

It has space group Pm (No. 6), with a = 4.8525 Å, b = 4.6345 Å, c = 7.2519 Å, α = 90.00°, β = 106.32° and γ = 90.00°. The inequivalent atoms are Tl at (0.0000, 0.0000, 0.0000), Tl at (0.4778, 0.5000, 0.9807), Hg at (0.5153, 0.0000, 0.5290), As at (0.8431, 0.5000, 0.6861) and Pb at (0.1089, 0.5000, 0.3813).


No. 12
DFT (PBE) results for a relaxed Ba2CdMo crystal.

The density of states at the Fermi level is 0.93 states/eV per atom. For the spin magnetization, the calculation gives 1.053 μB/atom. The final energy comes out at -0.1165 hartree per atom. As for the formation energy: 729 meV per atom.

It has space group I-4m2 (No. 119), with a = 5.6882 Å, b = 5.6882 Å, c = 8.0310 Å, α = 90.00°, β = 90.00° and γ = 90.00°. The inequivalent atoms are Ba at (0.0000, 0.0000, 0.0000), Ba at (0.0000, 0.5000, 0.2500), Cd at (0.0000, 0.0000, 0.5000) and Mo at (0.0000, 0.5000, 0.7500).